Below is an optimized crystal structure of TlSb5S8, with properties calculated at the PBE level.

Values from the calculation:
**Formation energy (no corrections)**: -0.245 eV per atom
**Size of the total moment**: 0.0 μB/cell
**Total DFT energy (no corrections)**: -4.244 eV per atom
**Symmetry**: Cm

Unit cell a=9.715 b=9.715 c=11.215 alpha=104.75 beta=104.75 gamma=23.15
Positions (direct):
Tl  0.000  0.000  0.000
Sb  0.227  0.227  0.502
Sb  0.259  0.259  0.897
Sb  0.550  0.550  0.456
Sb  0.863  0.863  0.231
Sb  0.920  0.920  0.617
S  0.000  0.000  0.280
S  0.126  0.126  0.610
S  0.360  0.360  0.391
S  0.381  0.381  0.051
S  0.478  0.478  0.756
S  0.651  0.651  0.351
S  0.706  0.706  0.993
S  0.802  0.802  0.674